This record from the Alexandria database describes an optimized crystal structure of K3Pu2InO9. The functional is PBE.

Volume ... 15.2 Å³ per atom
E_tot ... -7.4932 eV/atom

Cell lengths 5.982, 5.982, 7.361 Å; angles 90.00, 90.00, 120.00 degrees
Site moments in Bohr magnetons follow the coordinates.
Element x y z (fractional)
K: 0.333 0.667 0.659  0.00
K: 0.000 0.000 0.000  0.00
K: 0.667 0.333 0.341  0.00
Pu: 0.333 0.667 0.169  2.48
Pu: 0.667 0.333 0.831  2.48
In: 0.000 0.000 0.500  -0.01
O: 0.828 0.172 0.675  -0.09
O: 0.828 0.656 0.675  -0.09
O: 0.344 0.172 0.675  -0.09
O: 0.656 0.828 0.325  -0.09
O: 0.172 0.344 0.325  -0.09
O: 0.172 0.828 0.325  -0.09
O: 0.500 0.000 0.000  -0.12
O: 0.000 0.500 0.000  -0.12
O: 0.500 0.500 0.000  -0.12

***

This record from the Alexandria database describes an optimized crystal structure of RbNiB2. The functional is PBE.

Energy of formation from the pure elements ... 2130.7 meV/atom
Volume ... 15.4 Å³ per atom

Cell lengths 4.429, 4.429, 4.429 Å; angles 60.00, 60.00, 60.00 degrees
Element x y z (fractional)
Ni: 0.000 0.000 0.000
B: 0.250 0.250 0.250
B: 0.750 0.750 0.750
Rb: 0.500 0.500 0.500

***

This record from the Alexandria database describes an optimized crystal structure of SrLaRhI. The functional is PBE.

Volume ... 33.2 Å³ per atom
E_tot ... -4.8111 eV/atom

Cell lengths 4.267, 4.268, 8.766 Å; angles 90.00, 104.09, 120.00 degrees
Element x y z (fractional)
Sr: 0.502 0.149 0.666
La: 0.092 0.944 0.051
Rh: 0.320 0.558 0.893
I: 0.964 0.380 0.359

***

This record from the Alexandria database describes an optimized crystal structure of CsK8Hg6. The functional is PBE.

Energy of formation from the pure elements ... -168.7 meV/atom
Volume ... 46.6 Å³ per atom

Cell lengths 9.510, 9.510, 9.510 Å; angles 66.92, 66.92, 66.92 degrees
Element x y z (fractional)
Cs: 0.000 0.000 0.000
K: 0.217 0.553 0.884
K: 0.116 0.783 0.447
K: 0.447 0.116 0.783
K: 0.667 0.667 0.667
K: 0.333 0.333 0.333
K: 0.553 0.884 0.217
K: 0.884 0.217 0.553
K: 0.783 0.447 0.116
Hg: 0.049 0.400 0.699
Hg: 0.301 0.951 0.600
Hg: 0.600 0.301 0.951
Hg: 0.400 0.699 0.049
Hg: 0.699 0.049 0.400
Hg: 0.951 0.600 0.301

***

This record from the Alexandria database describes an optimized crystal structure of AlCrSe2. The functional is PBE.

Volume ... 23.7 Å³ per atom
E_tot ... -5.1793 eV/atom

Cell lengths 7.643, 7.643, 7.643 Å; angles 152.54, 152.54, 39.23 degrees
Site moments in Bohr magnetons follow the coordinates.
Element x y z (fractional)
Cr: 0.750 0.250 0.500  3.70
Al: 0.500 0.500 0.000  0.01
Se: 0.000 0.000 0.000  0.03
Se: 0.250 0.750 0.500  -0.07

***

This record from the Alexandria database describes an optimized crystal structure of LaDy4Tm3. The functional is PBE.

Energy of formation from the pure elements ... 13.1 meV/atom
Volume ... 32.0 Å³ per atom

Cell lengths 6.260, 7.260, 11.278 Å; angles 90.00, 90.00, 90.00 degrees
Element x y z (fractional)
La: 0.145 0.374 0.000
La: 0.645 0.626 0.500
Dy: 0.146 0.874 0.000
Dy: 0.649 0.123 0.000
Dy: 0.982 0.125 0.253
Dy: 0.482 0.875 0.247
Dy: 0.149 0.877 0.500
Dy: 0.646 0.126 0.500
Dy: 0.482 0.875 0.753
Dy: 0.982 0.125 0.747
Tm: 0.648 0.627 0.000
Tm: 0.981 0.625 0.251
Tm: 0.481 0.375 0.249
Tm: 0.148 0.373 0.500
Tm: 0.481 0.375 0.751
Tm: 0.981 0.625 0.749

***

This record from the Alexandria database describes an optimized crystal structure of KAlRe. The functional is PBE.

Energy of formation from the pure elements ... 636.6 meV/atom
Volume ... 23.9 Å³ per atom

Cell lengths 6.691, 6.691, 6.691 Å; angles 156.58, 142.86, 44.37 degrees
Site moments in Bohr magnetons follow the coordinates.
Element x y z (fractional)
Re: 0.609 0.609 0.000  0.31
K: 0.330 0.330 0.000  0.00
Al: 0.060 0.060 0.000  -0.01

***

This record from the Alexandria database describes an optimized crystal structure of TaCr4Tc. The functional is PBE.

Energy of formation from the pure elements ... -2.9 meV/atom
Volume ... 13.3 Å³ per atom

Cell lengths 4.831, 4.831, 4.831 Å; angles 60.00, 60.00, 60.00 degrees
Element x y z (fractional)
Ta: 0.750 0.750 0.750
Cr: 0.873 0.376 0.376
Cr: 0.376 0.376 0.873
Cr: 0.376 0.873 0.376
Cr: 0.376 0.376 0.376
Tc: 0.000 0.000 0.000

***

Which of these has the highest volume? CsK8Hg6

***

What is the volume in the seventh record? 23.9 Å³ per atom

***

Which value of volume does entry 4 give? 46.6 Å³ per atom

***

Which of these has the lowest volume? TaCr4Tc